(1)
A plane-wave DFT calculation with GGA-PBE was carried out for a geometry-optimized La7B9Os4 structure.

```
data_La7B9Os4
_cell_length_a 12.7113
_cell_length_b 5.4310
_cell_length_c 12.5290
_cell_angle_alpha 90.00
_cell_angle_beta 113.02
_cell_angle_gamma 90.00
_space_group_name_H-M_alt 'C 1 2/m 1'
_space_group_IT_number 12
_space_group_name_Hall '-C 2y'
loop_
_atom_site_label
_atom_site_type_symbol
_atom_site_fract_x
_atom_site_fract_y
_atom_site_fract_z
La1 La 0.0000 0.0000 0.0000
La2 La 0.1325 0.0000 0.6237
La3 La 0.1355 0.5000 0.8581
La4 La 0.1478 0.0000 0.3236
B1 B 0.0000 0.5000 0.0000
B2 B 0.0791 0.0000 0.8215
B3 B 0.1002 0.5000 0.6145
B4 B 0.1128 0.5000 0.2959
B5 B 0.2135 0.0000 0.8707
Os1 Os 0.0698 0.5000 0.4355
Os2 Os 0.1360 0.5000 0.1454
```

Output
crystal system = monoclinic
E_tot = -7.12 eV per atom

=====

(2)
A plane-wave DFT calculation with GGA-PBE was carried out for a geometry-optimized ZrFeCuSb structure.

```
data_ZrFeCuSb
_cell_length_a 6.4994
_cell_length_b 6.4994
_cell_length_c 6.4994
_cell_angle_alpha 90.00
_cell_angle_beta 90.00
_cell_angle_gamma 90.00
_space_group_name_H-M_alt 'F -4 3 m'
_space_group_IT_number 216
_space_group_name_Hall 'F -4 2 3'
loop_
_atom_site_label
_atom_site_type_symbol
_atom_site_fract_x
_atom_site_fract_y
_atom_site_fract_z
Zr1 Zr 0.0000 0.0000 0.0000
Fe1 Fe 0.0000 0.0000 0.5000
Cu1 Cu 0.2500 0.2500 0.2500
Sb1 Sb 0.2500 0.2500 0.7500
```

Output
crystal system = cubic
E_tot = -6.12 eV per atom

=====

(3)
A plane-wave DFT calculation with GGA-PBE was carried out for a geometry-optimized Ag2Se structure.

```
data_Ag2Se
_cell_length_a 4.9130
_cell_length_b 4.9130
_cell_length_c 5.7054
_cell_angle_alpha 90.00
_cell_angle_beta 90.00
_cell_angle_gamma 120.00
_space_group_name_H-M_alt 'P 63/m m c'
_space_group_IT_number 194
_space_group_name_Hall '-P 6c 2c'
loop_
_atom_site_label
_atom_site_type_symbol
_atom_site_fract_x
_atom_site_fract_y
_atom_site_fract_z
Ag1 Ag 0.0000 0.0000 0.2500
Ag2 Ag 0.3333 0.6667 0.2500
Se1 Se 0.3333 0.6667 0.7500
```

Output
crystal system = hexagonal
E_tot = -3.02 eV per atom

=====

(4)
A plane-wave DFT calculation with GGA-PBE was carried out for a geometry-optimized Dy2InCoNi structure.

```
data_Dy2InCoNi
_cell_length_a 3.7293
_cell_length_b 3.8514
_cell_length_c 14.0949
_cell_angle_alpha 90.00
_cell_angle_beta 90.00
_cell_angle_gamma 90.00
_space_group_name_H-M_alt 'A m m 2'
_space_group_IT_number 38
_space_group_name_Hall 'A 2 -2'
loop_
_atom_site_label
_atom_site_type_symbol
_atom_site_fract_x
_atom_site_fract_y
_atom_site_fract_z
Dy1 Dy 0.0000 0.0000 0.0000
Dy2 Dy 0.0000 0.0000 0.2789
In1 In 0.5000 0.0000 0.6412
Co1 Co 0.5000 0.0000 0.8407
Ni1 Ni 0.5000 0.0000 0.4399
```

Output
crystal system = orthorhombic
E_tot = -5.35 eV per atom

=====

(5)
A plane-wave DFT calculation with GGA-PBE was carried out for a geometry-optimized SmTmZn2Si2 structure.

```
data_SmTmZn2Si2
_cell_length_a 4.1513
_cell_length_b 4.1513
_cell_length_c 15.9046
_cell_angle_alpha 90.00
_cell_angle_beta 90.00
_cell_angle_gamma 120.00
_space_group_name_H-M_alt 'P 63/m m c'
_space_group_IT_number 194
_space_group_name_Hall '-P 6c 2c'
loop_
_atom_site_label
_atom_site_type_symbol
_atom_site_fract_x
_atom_site_fract_y
_atom_site_fract_z
Sm1 Sm 0.0000 0.0000 0.0000
Tm1 Tm 0.0000 0.0000 0.2500
Zn1 Zn 0.3333 0.6667 0.1416
Si1 Si 0.3333 0.6667 0.6226
```

Output
crystal system = hexagonal
E_tot = -4.39 eV per atom

=====

(6)
A plane-wave DFT calculation with GGA-PBE was carried out for a geometry-optimized Lu4Hf2Ni3C3 structure.

```
data_Lu4Hf2Ni3C3
_cell_length_a 10.0833
_cell_length_b 5.8316
_cell_length_c 14.0278
_cell_angle_alpha 90.00
_cell_angle_beta 103.37
_cell_angle_gamma 90.00
_space_group_name_H-M_alt 'C 1 2/c 1'
_space_group_IT_number 15
_space_group_name_Hall '-C 2yc'
loop_
_atom_site_label
_atom_site_type_symbol
_atom_site_fract_x
_atom_site_fract_y
_atom_site_fract_z
Lu1 Lu 0.1152 0.0777 0.0978
Lu2 Lu 0.2155 0.0861 0.4022
Hf1 Hf 0.0549 0.4148 0.9058
Ni1 Ni 0.0000 0.0719 0.2500
Ni2 Ni 0.2403 0.3409 0.2494
C1 C 0.0748 0.2758 0.5003
C2 C 0.2500 0.2500 0.0000
```

Output
crystal system = monoclinic
E_tot = -7.15 eV per atom

=====

(7)
A plane-wave DFT calculation with GGA-PBE was carried out for a geometry-optimized DyEr2Al3Ge2Au structure.

```
data_DyEr2Al3Ge2Au
_cell_length_a 4.2325
_cell_length_b 12.1829
_cell_length_c 7.0259
_cell_angle_alpha 90.00
_cell_angle_beta 90.00
_cell_angle_gamma 90.00
_space_group_name_H-M_alt 'A m m 2'
_space_group_IT_number 38
_space_group_name_Hall 'A 2 -2'
loop_
_atom_site_label
_atom_site_type_symbol
_atom_site_fract_x
_atom_site_fract_y
_atom_site_fract_z
Dy1 Dy 0.0000 0.0000 0.0000
Er1 Er 0.0000 0.2065 0.3809
Al1 Al 0.5000 0.0000 0.3476
Al2 Al 0.5000 0.1197 0.7063
Ge1 Ge 0.5000 0.1676 0.0875
Au1 Au 0.0000 0.0000 0.5844
```

Output
crystal system = orthorhombic
E_tot = -4.88 eV per atom

=====

(8)
A plane-wave DFT calculation with GGA-PBE was carried out for a geometry-optimized NdErSi4Os2 structure.

```
data_NdErSi4Os2
_cell_length_a 4.4514
_cell_length_b 4.1132
_cell_length_c 8.1825
_cell_angle_alpha 90.00
_cell_angle_beta 101.98
_cell_angle_gamma 90.00
_space_group_name_H-M_alt 'P 1 m 1'
_space_group_IT_number 6
_space_group_name_Hall 'P -2y'
loop_
_atom_site_label
_atom_site_type_symbol
_atom_site_fract_x
_atom_site_fract_y
_atom_site_fract_z
Nd1 Nd 0.0000 0.0000 0.0000
Er1 Er 0.1790 0.5000 0.4049
Si1 Si 0.2476 0.0000 0.6902
Si2 Si 0.5468 0.5000 0.1088
Si3 Si 0.6215 0.0000 0.2890
Si4 Si 0.9176 0.5000 0.7014
Os1 Os 0.4652 0.5000 0.8114
Os2 Os 0.6977 0.0000 0.5812
```

Output
crystal system = monoclinic
E_tot = -7.41 eV per atom

=====

(9)
A plane-wave DFT calculation with GGA-PBE was carried out for a geometry-optimized KTbZnS3 structure.

```
data_KTbZnS3
_cell_length_a 8.6981
_cell_length_b 3.9953
_cell_length_c 9.4670
_cell_angle_alpha 90.00
_cell_angle_beta 107.04
_cell_angle_gamma 90.00
_space_group_name_H-M_alt 'P 1 21/m 1'
_space_group_IT_number 11
_space_group_name_Hall '-P 2yb'
loop_
_atom_site_label
_atom_site_type_symbol
_atom_site_fract_x
_atom_site_fract_y
_atom_site_fract_z
K1 K 0.2103 0.2500 0.2353
Tb1 Tb 0.3289 0.7500 0.8595
Zn1 Zn 0.0834 0.2500 0.6086
S1 S 0.1077 0.2500 0.8574
S2 S 0.1979 0.7500 0.5370
S3 S 0.4610 0.7500 0.1565
```

Output
crystal system = monoclinic
E_tot = -4.72 eV per atom

=====

(10)
A plane-wave DFT calculation with GGA-PBE was carried out for a geometry-optimized Tm4Ni2Sn5 structure.

```
data_Tm4Ni2Sn5
_cell_length_a 15.6656
_cell_length_b 4.4777
_cell_length_c 7.6136
_cell_angle_alpha 90.00
_cell_angle_beta 110.00
_cell_angle_gamma 90.00
_space_group_name_H-M_alt 'C 1 2/m 1'
_space_group_IT_number 12
_space_group_name_Hall '-C 2y'
loop_
_atom_site_label
_atom_site_type_symbol
_atom_site_fract_x
_atom_site_fract_y
_atom_site_fract_z
Tm1 Tm 0.0893 0.0000 0.3879
Tm2 Tm 0.1508 0.0000 0.9578
Ni1 Ni 0.2273 0.5000 0.6027
Sn1 Sn 0.0000 0.5000 0.0000
Sn2 Sn 0.0771 0.5000 0.6703
Sn3 Sn 0.2057 0.5000 0.2517
```

Output
crystal system = monoclinic
E_tot = -5.06 eV per atom

=====

(11)
A plane-wave DFT calculation with GGA-PBE was carried out for a geometry-optimized SrSmZnSe3 structure.

```
data_SrSmZnSe3
_cell_length_a 4.1444
_cell_length_b 13.9864
_cell_length_c 10.9657
_cell_angle_alpha 90.00
_cell_angle_beta 90.00
_cell_angle_gamma 90.00
_space_group_name_H-M_alt 'C m c m'
_space_group_IT_number 63
_space_group_name_Hall '-C 2c 2'
loop_
_atom_site_label
_atom_site_type_symbol
_atom_site_fract_x
_atom_site_fract_y
_atom_site_fract_z
Sr1 Sr 0.0000 0.2451 0.2500
Sm1 Sm 0.0000 0.0000 0.0000
Zn1 Zn 0.0000 0.4713 0.7500
Se1 Se 0.0000 0.0777 0.7500
Se2 Se 0.0000 0.3562 0.5750
```

Output
crystal system = orthorhombic
E_tot = -4.42 eV per atom

=====

(12)
A plane-wave DFT calculation with GGA-PBE was carried out for a geometry-optimized SmBeMo structure.

```
data_SmBeMo
_cell_length_a 6.5753
_cell_length_b 6.5753
_cell_length_c 6.5753
_cell_angle_alpha 90.00
_cell_angle_beta 90.00
_cell_angle_gamma 90.00
_space_group_name_H-M_alt 'F -4 3 m'
_space_group_IT_number 216
_space_group_name_Hall 'F -4 2 3'
loop_
_atom_site_label
_atom_site_type_symbol
_atom_site_fract_x
_atom_site_fract_y
_atom_site_fract_z
Sm1 Sm 0.0000 0.0000 0.0000
Be1 Be 0.2500 0.2500 0.7500
Mo1 Mo 0.2500 0.2500 0.2500
```

Output
crystal system = cubic
E_tot = -4.84 eV per atom